DFT (GGA-PBE) results for a relaxed Ho4AlPd crystal.

Lattice parameters (Å, degrees): 5.7742 8.3080 8.0966 114.83 102.86 105.15
Closest atoms and distances in Å follow each position.
Element x y z (fractional)
1 Al 0.3753 0.6253 0.2506  8 Ho 3.13-3.18
2 Ho 0.7746 0.6954 0.6320  2 Pd 3.03-3.06, 2 Al 3.13-3.17, 1 Ho 3.31
3 Ho 0.6888 0.3652 0.1447  2 Pd 2.91-2.95, 2 Al 3.14-3.18
4 Ho 0.6426 0.0634 0.3680  2 Pd 3.03-3.06, 2 Al 3.13-3.17, 1 Ho 3.31
5 Ho 0.0441 0.2205 0.8553  2 Pd 2.91-2.95, 2 Al 3.14-3.18
6 Pd 0.2495 0.9995 0.9991  2 Pd 2.89, 8 Ho 2.91-3.06
7 Ho 0.9559 0.7795 0.1447  2 Pd 2.91-2.95, 2 Al 3.14-3.18
8 Ho 0.2254 0.3046 0.3680  2 Pd 3.03-3.06, 2 Al 3.13-3.17, 1 Ho 3.31
9 Ho 0.3112 0.6348 0.8553  2 Pd 2.91-2.95, 2 Al 3.14-3.18
10 Al 0.6247 0.3747 0.7494  8 Ho 3.13-3.18
11 Ho 0.3574 0.9366 0.6320  2 Pd 3.03-3.06, 2 Al 3.13-3.17, 1 Ho 3.31
12 Pd 0.7505 0.0005 0.0009  2 Pd 2.89, 8 Ho 2.91-3.06

## Properties
space-group type	No. 15
ΔE_f	-0.375	eV/atom
M_tot	0.0	μB per formula unit
E above lowest polymorph	111	meV per atom
total DFT energy (no corrections)	-58.99	eV/cell